Rb2PbI3 | GGA-PBE | optimized geometry

Unit cell a=7.3664 b=10.6365 c=8.6143 alpha=107.99 beta=115.31 gamma=90.00
Atoms (fractional coordinates):
I (0.4999, 0.7500, 0.0000)
I (0.5001, 0.2500, 0.0000)
I (0.8547, 0.4272, 0.7091)
I (0.8544, 0.9272, 0.7091)
I (0.1453, 0.5728, 0.2909)
I (0.1456, 0.0728, 0.2909)
Rb (0.6692, 0.5847, 0.3388)
Rb (0.3308, 0.4153, 0.6612)
Rb (0.3304, 0.9153, 0.6612)
Rb (0.6696, 0.0847, 0.3388)
Pb (0.0001, 0.2500, 0.0000)
Pb (0.9999, 0.7500, 0.0000)

Raw formation energy: -0.97 eV per atom
DFT total energy: -2.6879 eV/atom

=====

Rb2PbI | GGA-PBE | optimized geometry

Unit cell a=10.1412 b=10.1412 c=8.1545 alpha=51.55 beta=51.55 gamma=90.00
Atoms (fractional coordinates):
Rb (0.6012, 0.1250, 0.2500)
Rb (0.1488, 0.6250, 0.2500)
Rb (0.8750, 0.8512, 0.7500)
Rb (0.3750, 0.3988, 0.7500)
I (0.2500, 0.7500, 0.5000)
I (0.5000, 0.5000, 0.0000)
Pb (0.7500, 0.2500, 0.5000)
Pb (0.0000, 0.0000, 0.0000)

Raw formation energy: -0.38 eV per atom
DFT total energy: -2.1792 eV/atom
Offset from the most stable computed form: 47.0 meV per atom

=====

Rb2Pb3I8 | GGA-PBE | optimized geometry

Unit cell a=8.2880 b=9.5617 c=10.1557 alpha=118.08 beta=105.75 gamma=90.00
Atoms (fractional coordinates):
Pb (0.5000, 0.0000, 0.0000)
Pb (0.0000, 0.7423, 0.0000)
Pb (0.0000, 0.2577, 0.0000)
I (0.3959, 0.3431, 0.2162)
I (0.0439, 0.3848, 0.7695)
I (0.9002, 0.1080, 0.2159)
I (0.0998, 0.8920, 0.7841)
I (0.6041, 0.1270, 0.7838)
I (0.6041, 0.6569, 0.7838)
I (0.3959, 0.8730, 0.2162)
I (0.9561, 0.6152, 0.2305)
Rb (0.3334, 0.2633, 0.5266)
Rb (0.6666, 0.7367, 0.4734)

Raw formation energy: -0.91 eV per atom
DFT total energy: -2.8704 eV/atom

=====

Rb2RePbI6 | GGA-PBE | optimized geometry

Unit cell a=8.4599 b=8.4599 c=8.4635 alpha=60.01 beta=60.01 gamma=90.00
Each line ends with the local moment (μB).
Atoms (fractional coordinates):
I (0.7317, 0.7317, 0.0000)  0.02
I (0.2685, 0.2685, 0.4631)  0.02
I (0.7317, 0.2683, 0.0000)  0.02
I (0.2683, 0.2683, 0.0000)  0.02
I (0.7315, 0.7315, 0.5369)  0.02
I (0.2683, 0.7317, 0.0000)  0.02
Rb (0.7500, 0.2500, 0.5000)  0.00
Rb (0.2500, 0.7500, 0.5000)  0.00
Pb (0.0000, 0.0000, 0.0000)  0.08
Re (0.5000, 0.5000, 0.0000)  1.47

Raw formation energy: -0.46 eV per atom
DFT total energy: -3.2022 eV/atom